1.
DFT (PBE-GGA) results for Pm2DyEr4Tm after structural relaxation.

As for the space-group type: Imma (74). The calculation puts the energy of formation from the pure elements at 0.4369 eV per atom. The total energy comes out at -4.1664 eV/atom. The calculation puts the density of states at the Fermi level at 34.9 states/eV/cell. The spin magnetization comes out at 5.6 Bohr magnetons per cell.

a b c (Å): 9.464 9.464 9.464
angles (deg): 138.11 103.37 91.39
Element x y z (fractional)
Pm: 0.000 0.000 0.000
Pm: 0.500 0.000 0.000
Pm: 0.500 0.000 0.500
Pm: 0.500 0.500 0.500
Dy: 0.000 0.500 0.500
Dy: 0.500 0.500 0.000
Er: 0.245 0.749 0.496
Er: 0.246 0.247 0.501
Er: 0.246 0.745 0.999
Er: 0.247 0.251 0.996
Er: 0.753 0.749 0.004
Er: 0.754 0.255 0.001
Er: 0.754 0.753 0.499
Er: 0.755 0.251 0.504
Tm: 0.000 0.000 0.500
Tm: 0.000 0.500 0.000

=====

2.
DFT (PBE-GGA) results for PmDyErTm after structural relaxation.

As for the space-group type: F-43m (216). The energy above the most stable polymorph in this dataset is 105.7 meV/atom. The calculation puts the energy of formation from the pure elements at 0.1215 eV per atom. The total energy comes out at -4.4753 eV/atom. The calculation puts the density of states at the Fermi level at 7.3 states/eV/cell. The spin magnetization comes out at 0.0 Bohr magnetons per cell.

a b c (Å): 5.655 5.655 5.655
angles (deg): 60.00 60.00 60.00
Element x y z (fractional)
Pm: 0.000 0.000 0.000
Dy: 0.500 0.500 0.500
Er: 0.250 0.250 0.250
Tm: 0.750 0.750 0.750

=====

3.
DFT (PBE-GGA) results for PmDy6Er3Tm2 after structural relaxation.

As for the space-group type: C2/m (12). The calculation puts the energy of formation from the pure elements at 0.0191 eV per atom. The total energy comes out at -4.5638 eV/atom. The calculation puts the density of states at the Fermi level at 15.6 states/eV/cell. The spin magnetization comes out at 0.0 Bohr magnetons per cell.

a b c (Å): 6.113 6.113 11.706
angles (deg): 94.98 94.98 119.95
Element x y z (fractional)
Pm: 0.000 0.000 0.000
Dy: 0.085 0.419 0.251
Dy: 0.250 0.250 0.749
Dy: 0.419 0.085 0.251
Dy: 0.581 0.915 0.749
Dy: 0.750 0.750 0.251
Dy: 0.915 0.581 0.749
Er: 0.167 0.833 0.500
Er: 0.500 0.500 0.500
Er: 0.833 0.167 0.500
Tm: 0.333 0.667 0.000
Tm: 0.667 0.333 0.000

=====

4.
DFT (PBE-GGA) results for Pm2DyErTm5 after structural relaxation.

As for the space-group type: I4/mcm (140). The calculation puts the energy of formation from the pure elements at 0.2781 eV per atom. The total energy comes out at -4.2801 eV/atom. The calculation puts the density of states at the Fermi level at 21.6 states/eV/cell. The spin magnetization comes out at 0.0 Bohr magnetons per cell.

a b c (Å): 9.806 9.806 9.806
angles (deg): 128.22 128.22 76.26
Element x y z (fractional)
Pm: 0.117 0.617 0.734
Pm: 0.383 0.117 0.500
Pm: 0.617 0.883 0.500
Pm: 0.883 0.383 0.266
Dy: 0.250 0.250 0.000
Dy: 0.750 0.750 0.000
Er: 0.250 0.750 0.500
Er: 0.750 0.250 0.500
Tm: 0.000 0.000 0.000
Tm: 0.073 0.148 0.500
Tm: 0.148 0.648 0.076
Tm: 0.352 0.427 0.500
Tm: 0.427 0.927 0.076
Tm: 0.500 0.500 0.000
Tm: 0.573 0.073 0.924
Tm: 0.648 0.573 0.500
Tm: 0.852 0.352 0.924
Tm: 0.927 0.852 0.500

=====

5.
DFT (PBE-GGA) results for Pm2Dy2Er4Tm after structural relaxation.

As for the space-group type: C2/m (12). The calculation puts the energy of formation from the pure elements at -0.0019 eV per atom. The total energy comes out at -4.6050 eV/atom. The calculation puts the density of states at the Fermi level at 12.2 states/eV/cell. The spin magnetization comes out at 0.0 Bohr magnetons per cell.

a b c (Å): 9.446 9.446 9.500
angles (deg): 115.23 115.23 21.81
Element x y z (fractional)
Pm: 0.165 0.165 0.000
Pm: 0.835 0.835 0.000
Dy: 0.353 0.353 0.337
Dy: 0.647 0.647 0.663
Er: 0.019 0.019 0.334
Er: 0.315 0.315 0.664
Er: 0.685 0.685 0.336
Er: 0.981 0.981 0.666
Tm: 0.500 0.500 0.000

=====

6.
DFT (PBE-GGA) results for Pm3Dy6ErTm2 after structural relaxation.

As for the space-group type: C2/m (12). The calculation puts the energy of formation from the pure elements at 0.0193 eV per atom. The total energy comes out at -4.5949 eV/atom. The calculation puts the density of states at the Fermi level at 15.8 states/eV/cell. The spin magnetization comes out at 0.0 Bohr magnetons per cell.

a b c (Å): 6.161 6.161 11.778
angles (deg): 94.99 94.99 119.97
Element x y z (fractional)
Pm: 0.000 0.000 0.000
Pm: 0.333 0.667 0.000
Pm: 0.667 0.333 0.000
Dy: 0.085 0.418 0.254
Dy: 0.249 0.249 0.746
Dy: 0.418 0.085 0.254
Dy: 0.582 0.915 0.746
Dy: 0.751 0.751 0.254
Dy: 0.915 0.582 0.746
Er: 0.500 0.500 0.500
Tm: 0.167 0.833 0.500
Tm: 0.833 0.167 0.500

=====

7.
DFT (PBE-GGA) results for PmDy2Er5Tm after structural relaxation.

As for the space-group type: I4/mcm (140). The calculation puts the energy of formation from the pure elements at 0.2964 eV per atom. The total energy comes out at -4.2859 eV/atom. The calculation puts the density of states at the Fermi level at 22.5 states/eV/cell. The spin magnetization comes out at 0.0 Bohr magnetons per cell.

a b c (Å): 9.589 9.589 9.589
angles (deg): 124.58 124.58 82.23
Element x y z (fractional)
Pm: 0.250 0.250 0.000
Pm: 0.750 0.750 0.000
Dy: 0.112 0.612 0.724
Dy: 0.388 0.112 0.500
Dy: 0.612 0.888 0.500
Dy: 0.888 0.388 0.276
Er: 0.000 0.000 0.000
Er: 0.073 0.163 0.500
Er: 0.163 0.663 0.089
Er: 0.337 0.427 0.500
Er: 0.427 0.927 0.089
Er: 0.500 0.500 0.000
Er: 0.573 0.073 0.911
Er: 0.663 0.573 0.500
Er: 0.837 0.337 0.911
Er: 0.927 0.837 0.500
Tm: 0.250 0.750 0.500
Tm: 0.750 0.250 0.500

=====

8.
DFT (PBE-GGA) results for PmDyEr2Tm4 after structural relaxation.

As for the space-group type: Imma (74). The calculation puts the energy of formation from the pure elements at 0.4508 eV per atom. The total energy comes out at -4.0948 eV/atom. The calculation puts the density of states at the Fermi level at 33.9 states/eV/cell. The spin magnetization comes out at 6.1 Bohr magnetons per cell.

a b c (Å): 9.428 9.428 9.428
angles (deg): 138.18 103.70 91.03
Element x y z (fractional)
Pm: 0.000 0.000 0.000
Pm: 0.500 0.000 0.500
Dy: 0.500 0.000 0.000
Dy: 0.500 0.500 0.500
Er: 0.000 0.000 0.500
Er: 0.000 0.500 0.000
Er: 0.000 0.500 0.500
Er: 0.500 0.500 0.000
Tm: 0.247 0.748 0.499
Tm: 0.249 0.250 0.501
Tm: 0.249 0.748 0.999
Tm: 0.251 0.252 0.999
Tm: 0.749 0.748 0.001
Tm: 0.751 0.252 0.001
Tm: 0.751 0.750 0.499
Tm: 0.753 0.252 0.501

=====

9.
DFT (PBE-GGA) results for Pm2DyErTm2 after structural relaxation.

As for the space-group type: Pmma (51). The calculation puts the energy of formation from the pure elements at 0.0630 eV per atom. The total energy comes out at -4.5385 eV/atom. The calculation puts the density of states at the Fermi level at 20.1 states/eV/cell. The spin magnetization comes out at 0.0 Bohr magnetons per cell.

a b c (Å): 6.997 5.611 9.677
angles (deg): 90.00 90.00 90.00
Element x y z (fractional)
Pm: 0.250 0.000 0.152
Pm: 0.250 0.500 0.679
Pm: 0.750 0.000 0.848
Pm: 0.750 0.500 0.321
Dy: 0.250 0.000 0.819
Dy: 0.750 0.000 0.181
Er: 0.000 0.500 0.000
Er: 0.500 0.500 0.000
Tm: 0.000 0.000 0.500
Tm: 0.250 0.500 0.344
Tm: 0.500 0.000 0.500
Tm: 0.750 0.500 0.656

=====

10.
DFT (PBE-GGA) results for PmDy2ErTm2 after structural relaxation.

As for the space-group type: Pnnm (58). The calculation puts the energy of formation from the pure elements at 0.0741 eV per atom. The total energy comes out at -4.5027 eV/atom. The calculation puts the density of states at the Fermi level at 19.6 states/eV/cell. The spin magnetization comes out at 0.0 Bohr magnetons per cell.

a b c (Å): 6.899 9.701 5.582
angles (deg): 90.00 90.00 90.00
Element x y z (fractional)
Pm: 0.000 0.000 0.000
Pm: 0.500 0.500 0.500
Dy: 0.248 0.333 0.000
Dy: 0.252 0.833 0.500
Dy: 0.748 0.167 0.500
Dy: 0.752 0.667 0.000
Er: 0.000 0.500 0.500
Er: 0.500 0.000 0.000
Tm: 0.249 0.666 0.000
Tm: 0.251 0.166 0.500
Tm: 0.749 0.834 0.500
Tm: 0.751 0.334 0.000

=====

Number 6 is which compound?
Pm3Dy6ErTm2